Entry 1:
## RbCoAu2 (GGA-PBE)

Data for a relaxed structure of RbCoAu2.

* energy of formation: 0.764 eV/atom
* ΔE to the lowest computed polymorph: 491.9 meV per atom
* crystal system: cubic
* total magnetic moment: 9.56 μB per cell
* total energy: -2.893 eV per atom

abc: 7.2056 7.2056 7.2056
angles: 90.00 90.00 90.00
Space group Fm-3m (No. 225)
One atom of each set of equivalent atoms:
Rb 0.0000 0.0000 0.0000 x4
Co 0.0000 0.0000 0.5000 x4
Au 0.2500 0.2500 0.2500 x8

Entry 2:
## Mg5Ir3 (GGA-PBE)

Data for a relaxed structure of Mg5Ir3.

* energy of formation: -0.241 eV/atom
* ΔE to the lowest computed polymorph: 45.0 meV per atom
* crystal system: monoclinic
* total magnetic moment: 0.00 μB per cell
* total energy: -4.560 eV per atom

abc: 5.0111 14.7486 7.7713
angles: 90.00 108.32 90.00
Space group C2/m (No. 12)
One atom of each set of equivalent atoms:
Mg 0.0973 0.1765 0.1966 x8
Mg 0.1712 0.4016 0.3524 x8
Mg 0.2502 0.0000 0.0005 x4
Ir 0.0000 0.2472 0.5000 x4
Ir 0.0000 0.3342 0.0000 x4
Ir 0.1592 0.0000 0.3328 x4

Entry 3:
## Li2TeCl (GGA-PBE)

Data for a relaxed structure of Li2TeCl.

* ΔE to the lowest computed polymorph: 108.9 meV per atom
* crystal system: orthorhombic
* formation energy (no corrections): -1102 meV/atom
* total magnetic moment: 0.00 μB per cell
* total energy: -3.306 eV per atom

abc: 3.8465 5.7604 7.6010
angles: 90.00 90.00 90.00
Space group Cmmm (No. 65)
One atom of each set of equivalent atoms:
Li 0.0000 0.0000 0.2131 x4
Te 0.0000 0.5000 0.5000 x2
Cl 0.0000 0.5000 0.0000 x2